No. 1
Material: NaAc2Zn4Ge3
Method: DFT, PBE
State: optimized geometry

The space group is P-4m2 (No. 115) and the conventional cell measures 4.486, 4.486 and 10.983 Å, with angles of 90.00, 90.00 and 90.00 degrees. The inequivalent atoms are Na at (0.000, 0.000, 0.000), Ac at (0.000, 0.500, 0.734), Zn at (0.000, 0.000, 0.500), Zn at (0.000, 0.500, 0.138), Zn at (0.500, 0.500, 0.500), Ge at (0.000, 0.500, 0.371) and Ge at (0.500, 0.500, 0.000).

As for the energy relative to the elements: -31.9 kJ/mol of atoms. The magnetization comes out at 0.00 μB/cell.



No. 2
Material: Na2Ti2O5
Method: DFT, PBE
State: optimized geometry

The space group is Cmce (No. 64) and the conventional cell measures 10.924, 8.031 and 5.591 Å, with angles of 90.00, 90.00 and 90.00 degrees. The inequivalent atoms are Na at (0.244, 0.000, 0.000), Ti at (0.000, 0.213, 0.111), O at (0.000, 0.000, 0.000) and O at (0.117, 0.209, 0.373).

The magnetization comes out at 0.00 μB/cell. The calculation puts the raw formation energy at -2.47 eV per atom.



No. 3
Material: ScTcPt
Method: DFT, PBE
State: optimized geometry

The space group is F-43m (No. 216) and the conventional cell measures 6.142, 6.142 and 6.142 Å, with angles of 90.00, 90.00 and 90.00 degrees. The inequivalent atoms are Sc at (0.000, 0.000, 0.000), Tc at (0.250, 0.250, 0.750) and Pt at (0.250, 0.250, 0.250).

As for the energy relative to the elements: 34.2 kJ/mol of atoms. The calculation puts the relative energy among the computed polymorphs at 0.9342 eV per atom. The magnetization comes out at 6.53 μB/cell.



No. 4
Material: K2TlNiIr
Method: DFT, PBE
State: optimized geometry

The space group is P4/mmm (No. 123) and the conventional cell measures 6.361, 6.361 and 5.075 Å, with angles of 90.00, 90.00 and 90.00 degrees. The inequivalent atoms are K at (0.000, 0.500, 0.000), Tl at (0.000, 0.000, 0.000), Ni at (0.500, 0.500, 0.500) and Ir at (0.000, 0.000, 0.500).

As for the energy relative to the elements: 118.5 kJ/mol of atoms. The magnetization comes out at 1.69 μB/cell.



No. 5
Material: BaP2Au
Method: DFT, PBE
State: optimized geometry

The space group is Fm-3m (No. 225) and the conventional cell measures 7.160, 7.160 and 7.160 Å, with angles of 90.00, 90.00 and 90.00 degrees. The inequivalent atoms are Ba at (0.000, 0.000, 0.000), P at (0.250, 0.250, 0.250) and Au at (0.000, 0.000, 0.500).

As for the energy relative to the elements: 12.8 kJ/mol of atoms. The calculation puts the relative energy among the computed polymorphs at 0.7080 eV per atom. The magnetization comes out at 0.00 μB/cell.



No. 6
Material: CaGa3Ge3
Method: DFT, PBE
State: optimized geometry

The space group is Pm-3n (No. 223) and the conventional cell measures 7.061, 7.061 and 7.061 Å, with angles of 90.00, 90.00 and 90.00 degrees. The inequivalent atoms are Ca at (0.000, 0.000, 0.000), Ga at (0.000, 0.250, 0.500) and Ge at (0.000, 0.500, 0.250).

As for the energy relative to the elements: -1.0 kJ/mol of atoms. The calculation puts the relative energy among the computed polymorphs at 0.1448 eV per atom. The magnetization comes out at 0.00 μB/cell.